[1]
First-principles (PBE) data for an optimized crystal structure of La3Dy2YTm6, as listed in the Alexandria database. Values from VASP.

Results
Calculated volume, A^3/atom: 32.02
Energy, eV/atom: -4.746
Symmetry: No. 12

Quantum ESPRESSO input file:
```
&SYSTEM
  ibrav = 0, nat = 12, ntyp = 4
/
ATOMIC_SPECIES
La 138.91 La.upf
Dy 162.50 Dy.upf
Y 88.91 Y.upf
Tm 168.93 Tm.upf
ATOMIC_POSITIONS angstrom
La 4.6176 4.8033 2.4664
La -2.4083 5.7772 3.3618
La 1.1047 5.2903 2.9141
Dy 2.0701 -0.7714 2.8121
Dy -1.4427 -0.2845 3.2598
Y 0.0000 0.0000 0.0000
Tm -0.0951 8.2378 4.6037
Tm 0.8560 2.0596 4.4772
Tm 2.3045 2.3428 1.2245
Tm 3.4273 7.7495 4.1548
Tm 1.3533 8.5210 1.3510
Tm -1.2180 2.8310 1.6734
CELL_PARAMETERS angstrom
-4.9576 0.2027 3.7077
5.5851 -1.2587 2.3642
1.5819 11.6365 -0.2438
```



[2]
First-principles (PBE) data for an optimized crystal structure of La2DyY3Tm6, as listed in the Alexandria database. Values from VASP.

Results
Calculated volume, A^3/atom: 31.77
Energy, eV/atom: -5.028
Symmetry: No. 12

Quantum ESPRESSO input file:
```
&SYSTEM
  ibrav = 0, nat = 12, ntyp = 4
/
ATOMIC_SPECIES
La 138.91 La.upf
Dy 162.50 Dy.upf
Y 88.91 Y.upf
Tm 168.93 Tm.upf
ATOMIC_POSITIONS angstrom
La 0.0029 3.5621 0.0080
La 3.0839 1.7827 0.0080
Dy 0.0000 0.0000 0.0000
Y -2.0629 3.5526 5.7868
Y 4.1081 -0.0114 5.7868
Y 1.0226 1.7706 5.7868
Tm 3.0706 1.7678 8.6448
Tm 2.0604 3.5676 2.9387
Tm -1.0254 1.7734 2.9289
Tm -0.0033 3.5431 8.6448
Tm -0.0152 -0.0264 8.6350
Tm 2.0485 -0.0019 2.9289
CELL_PARAMETERS angstrom
6.1691 0.0009 0.0080
-3.0823 5.3439 0.0080
-1.0416 -1.8036 11.5577
```



[3]
First-principles (PBE) data for an optimized crystal structure of LaDyY3Tm, as listed in the Alexandria database. Values from VASP.

Results
Calculated volume, A^3/atom: 32.80
Energy, eV/atom: -5.443
Symmetry: No. 63

Quantum ESPRESSO input file:
```
&SYSTEM
  ibrav = 0, nat = 12, ntyp = 4
/
ATOMIC_SPECIES
La 138.91 La.upf
Dy 162.50 Dy.upf
Y 88.91 Y.upf
Tm 168.93 Tm.upf
ATOMIC_POSITIONS angstrom
La 8.4426 2.7946 2.0803
La 3.2689 -3.4259 4.1477
Dy 5.7441 0.5624 -0.0466
Dy 0.0000 0.0000 0.0000
Y 5.4605 1.3251 3.4165
Y 6.2510 -1.9565 2.8114
Y 11.5256 -1.4400 2.7686
Y 0.1859 0.8086 3.4593
Y 8.7426 -0.3377 1.2592
Y 2.9689 -0.2937 4.9687
Tm 8.6967 0.4212 4.7505
Tm 3.0148 -1.0526 1.4774
CELL_PARAMETERS angstrom
-0.3894 4.2968 3.8560
0.6127 -6.0530 2.4651
11.4883 1.1249 -0.0932
```



[4]
First-principles (PBE) data for an optimized crystal structure of La2DyYTm, as listed in the Alexandria database. Values from VASP.

Results
Calculated volume, A^3/atom: 36.09
Energy, eV/atom: -4.674
Symmetry: No. 63

Quantum ESPRESSO input file:
```
&SYSTEM
  ibrav = 0, nat = 10, ntyp = 4
/
ATOMIC_SPECIES
La 138.91 La.upf
Dy 162.50 Dy.upf
Y 88.91 Y.upf
Tm 168.93 Tm.upf
ATOMIC_POSITIONS angstrom
La -3.3897 -2.8896 -0.3470
La -2.9397 -2.2822 4.5373
La -5.0502 -4.1788 2.2160
La -1.2792 -0.9931 1.9744
Dy -4.7869 -0.6724 2.0067
Dy -5.3203 -0.3033 -3.5996
Y -7.1585 -2.2609 -0.3289
Y -2.9486 1.2852 -1.2640
Tm -6.7539 1.6479 1.8994
Tm -3.3533 -2.6236 -3.4922
CELL_PARAMETERS angstrom
-4.2210 -3.7931 -4.6427
-4.2189 -3.2753 6.5117
-1.6672 6.0927 -3.4619
```